Material: TaI2O
Method: DFT, PBE
State: relaxed

CIF file:
```
data_TaI2O
_symmetry_space_group_name_H-M 'I -4 2 d'
_symmetry_Int_Tables_number 122
_symmetry_space_group_name_Hall 'I -4 2bw'
_cell_length_a 6.6068
_cell_length_b 6.6068
_cell_length_c 9.6157
_cell_angle_alpha 90.00
_cell_angle_beta 90.00
_cell_angle_gamma 90.00
loop_
_atom_site_label
_atom_site_type_symbol
_atom_site_fract_x
_atom_site_fract_y
_atom_site_fract_z
_atom_site_occupancy
Ta1 Ta 0.0000 0.0000 0.0000 1
I1 I 0.2359 0.2500 0.6250 1
O1 O 0.0000 0.0000 0.5000 1
```

Properties
For the uncorrected formation energy, the calculation gives 0.67 eV per atom. The value obtained for the density of states at the Fermi level is 2.1 states/eV/f.u. The value obtained for the total energy is -4.308 eV per atom.


Material: TaI2O2
Method: DFT, PBE
State: relaxed

CIF file:
```
data_TaI2O2
_symmetry_space_group_name_H-M 'P 4/m m m'
_symmetry_Int_Tables_number 123
_symmetry_space_group_name_Hall '-P 4 2'
_cell_length_a 4.1430
_cell_length_b 4.1430
_cell_length_c 6.0773
_cell_angle_alpha 90.00
_cell_angle_beta 90.00
_cell_angle_gamma 90.00
loop_
_atom_site_label
_atom_site_type_symbol
_atom_site_fract_x
_atom_site_fract_y
_atom_site_fract_z
_atom_site_occupancy
Ta1 Ta 0.0000 0.0000 0.0000 1
I1 I 0.0000 0.0000 0.5000 1
I2 I 0.5000 0.5000 0.5000 1
O1 O 0.0000 0.5000 0.0000 1
```

Properties
For the uncorrected formation energy, the calculation gives -0.88 eV per atom. The value obtained for the density of states at the Fermi level is 2.2 states/eV/f.u. Its excess energy over the best structure of this formula in the dataset is 0 meV/atom. The value obtained for the total energy is -5.857 eV per atom.


Material: TaTcIO2
Method: DFT, PBE
State: relaxed

CIF file:
```
data_TaTcIO2
_symmetry_space_group_name_H-M 'P 4/m m m'
_symmetry_Int_Tables_number 123
_symmetry_space_group_name_Hall '-P 4 2'
_cell_length_a 3.8730
_cell_length_b 3.8730
_cell_length_c 6.3353
_cell_angle_alpha 90.00
_cell_angle_beta 90.00
_cell_angle_gamma 90.00
loop_
_atom_site_label
_atom_site_type_symbol
_atom_site_fract_x
_atom_site_fract_y
_atom_site_fract_z
_atom_site_occupancy
Ta1 Ta 0.0000 0.0000 0.0000 1
Tc1 Tc 0.5000 0.5000 0.5000 1
I1 I 0.5000 0.5000 0.0000 1
O1 O 0.0000 0.5000 0.5000 1
```

Properties
For the uncorrected formation energy, the calculation gives 0.29 eV per atom. The value obtained for the density of states at the Fermi level is 5.9 states/eV/f.u. Its excess energy over the best structure of this formula in the dataset is 886 meV/atom. The value obtained for the total energy is -6.449 eV per atom.


Material: TaTcIO2
Method: DFT, PBE
State: relaxed

CIF file:
```
data_TaTcIO2
_symmetry_space_group_name_H-M 'P 4/m m m'
_symmetry_Int_Tables_number 123
_symmetry_space_group_name_Hall '-P 4 2'
_cell_length_a 3.9238
_cell_length_b 3.9238
_cell_length_c 6.2111
_cell_angle_alpha 90.00
_cell_angle_beta 90.00
_cell_angle_gamma 90.00
loop_
_atom_site_label
_atom_site_type_symbol
_atom_site_fract_x
_atom_site_fract_y
_atom_site_fract_z
_atom_site_occupancy
Ta1 Ta 0.0000 0.0000 0.0000 1
Tc1 Tc 0.5000 0.5000 0.5000 1
I1 I 0.0000 0.0000 0.5000 1
O1 O 0.0000 0.5000 0.0000 1
```

Properties
For the uncorrected formation energy, the calculation gives -0.60 eV per atom. The value obtained for the density of states at the Fermi level is 3.8 states/eV/f.u. Its excess energy over the best structure of this formula in the dataset is 0 meV/atom. The value obtained for the total energy is -7.335 eV per atom.


Material: TaTe2IO
Method: DFT, PBE
State: relaxed

CIF file:
```
data_TaTe2IO
_symmetry_space_group_name_H-M 'P 4/m m m'
_symmetry_Int_Tables_number 123
_symmetry_space_group_name_Hall '-P 4 2'
_cell_length_a 5.3415
_cell_length_b 5.3415
_cell_length_c 5.4863
_cell_angle_alpha 90.00
_cell_angle_beta 90.00
_cell_angle_gamma 90.00
loop_
_atom_site_label
_atom_site_type_symbol
_atom_site_fract_x
_atom_site_fract_y
_atom_site_fract_z
_atom_site_occupancy
Ta1 Ta 0.0000 0.0000 0.0000 1
Te1 Te 0.0000 0.5000 0.0000 1
I1 I 0.0000 0.0000 0.5000 1
O1 O 0.5000 0.5000 0.5000 1
```

Properties
For the uncorrected formation energy, the calculation gives 0.71 eV per atom. The value obtained for the density of states at the Fermi level is 14.9 states/eV/f.u. Its excess energy over the best structure of this formula in the dataset is 27 meV/atom. The value obtained for the total energy is -4.221 eV per atom.


Material: TaTe2IO
Method: DFT, PBE
State: relaxed

CIF file:
```
data_TaTe2IO
_symmetry_space_group_name_H-M 'P 4/m m m'
_symmetry_Int_Tables_number 123
_symmetry_space_group_name_Hall '-P 4 2'
_cell_length_a 4.4866
_cell_length_b 4.4866
_cell_length_c 5.8113
_cell_angle_alpha 90.00
_cell_angle_beta 90.00
_cell_angle_gamma 90.00
loop_
_atom_site_label
_atom_site_type_symbol
_atom_site_fract_x
_atom_site_fract_y
_atom_site_fract_z
_atom_site_occupancy
Ta1 Ta 0.0000 0.0000 0.0000 1
Te1 Te 0.0000 0.5000 0.5000 1
I1 I 0.5000 0.5000 0.0000 1
O1 O 0.5000 0.5000 0.5000 1
```

Properties
For the uncorrected formation energy, the calculation gives 0.68 eV per atom. The value obtained for the density of states at the Fermi level is 3.2 states/eV/f.u. Its excess energy over the best structure of this formula in the dataset is 0 meV/atom. The value obtained for the total energy is -4.248 eV per atom.


Material: Ta4Te9I4O
Method: DFT, PBE
State: relaxed

CIF file:
```
data_Ta4Te9I4O
_symmetry_space_group_name_H-M 'C 1 2/c 1'
_symmetry_Int_Tables_number 15
_cell_length_a 23.1742
_cell_length_b 6.2823
_cell_length_c 21.4098
_cell_angle_alpha 90.00
_cell_angle_beta 121.92
_cell_angle_gamma 90.00
loop_
_symmetry_equiv_pos_as_xyz
'x,y,z'
'-x,-y,-z'
'-x,y,-z+1/2'
'x,-y,z+1/2'
'x+1/2,y+1/2,z'
'-x+1/2,-y+1/2,-z'
'-x+1/2,y+1/2,-z+1/2'
'x+1/2,-y+1/2,z+1/2'
loop_
_atom_site_label
_atom_site_type_symbol
_atom_site_fract_x
_atom_site_fract_y
_atom_site_fract_z
_atom_site_occupancy
Ta1 Ta 0.0625 0.0598 0.3572 1
Ta2 Ta 0.0727 0.2969 0.2380 1
Te1 Te 0.0000 0.3442 0.7500 1
Te2 Te 0.0193 0.3629 0.4194 1
Te3 Te 0.0576 0.0016 0.6315 1
Te4 Te 0.1643 0.3628 0.3957 1
Te5 Te 0.1734 0.0019 0.8305 1
I1 I 0.1354 0.1968 0.9831 1
I2 I 0.1648 0.4463 0.7228 1
O1 O 0.0000 0.1107 0.2500 1
```

Properties
For the uncorrected formation energy, the calculation gives -0.51 eV per atom. The value obtained for the density of states at the Fermi level is 0.2 states/eV/f.u. The value obtained for the total energy is -5.336 eV per atom.


Material: TaTi2IO
Method: DFT, PBE
State: relaxed

CIF file:
```
data_TaTi2IO
_symmetry_space_group_name_H-M 'P 4/m m m'
_symmetry_Int_Tables_number 123
_symmetry_space_group_name_Hall '-P 4 2'
_cell_length_a 4.2593
_cell_length_b 4.2593
_cell_length_c 4.2716
_cell_angle_alpha 90.00
_cell_angle_beta 90.00
_cell_angle_gamma 90.00
loop_
_atom_site_label
_atom_site_type_symbol
_atom_site_fract_x
_atom_site_fract_y
_atom_site_fract_z
_atom_site_occupancy
Ta1 Ta 0.0000 0.0000 0.0000 1
Ti1 Ti 0.0000 0.5000 0.5000 1
I1 I 0.5000 0.5000 0.0000 1
O1 O 0.0000 0.0000 0.5000 1
```

Properties
For the uncorrected formation energy, the calculation gives -0.41 eV per atom. The value obtained for the density of states at the Fermi level is 2.6 states/eV/f.u. The value obtained for the total energy is -7.237 eV per atom.


Material: TaTlI2O8
Method: DFT, PBE
State: relaxed

CIF file:
```
data_TaTlI2O8
_symmetry_space_group_name_H-M 'C 1 2/m 1'
_symmetry_Int_Tables_number 12
_cell_length_a 11.3603
_cell_length_b 5.7547
_cell_length_c 7.8017
_cell_angle_alpha 90.00
_cell_angle_beta 99.91
_cell_angle_gamma 90.00
loop_
_symmetry_equiv_pos_as_xyz
'x,y,z'
'-x,-y,-z'
'-x,y,-z'
'x,-y,z'
'x+1/2,y+1/2,z'
'-x+1/2,-y+1/2,-z'
'-x+1/2,y+1/2,-z'
'x+1/2,-y+1/2,z'
loop_
_atom_site_label
_atom_site_type_symbol
_atom_site_fract_x
_atom_site_fract_y
_atom_site_fract_z
_atom_site_occupancy
Ta1 Ta 0.0000 0.0000 0.0000 1
Tl1 Tl 0.0000 0.0000 0.5000 1
I1 I 0.1714 0.5000 0.1566 1
O1 O 0.0593 0.2518 0.1802 1
O2 O 0.1487 0.0000 0.9131 1
O3 O 0.2403 0.5000 0.3796 1
```

Properties
For the uncorrected formation energy, the calculation gives -1.01 eV per atom. The value obtained for the density of states at the Fermi level is 0.0 states/eV/f.u. The value obtained for the total energy is -5.760 eV per atom.


Material: TmTaIO4
Method: DFT, PBE
State: relaxed

CIF file:
```
data_TmTaIO4
_symmetry_space_group_name_H-M 'C 1 2/m 1'
_symmetry_Int_Tables_number 12
_cell_length_a 12.9619
_cell_length_b 6.3400
_cell_length_c 6.7617
_cell_angle_alpha 90.00
_cell_angle_beta 106.65
_cell_angle_gamma 90.00
loop_
_symmetry_equiv_pos_as_xyz
'x,y,z'
'-x,-y,-z'
'-x,y,-z'
'x,-y,z'
'x+1/2,y+1/2,z'
'-x+1/2,-y+1/2,-z'
'-x+1/2,y+1/2,-z'
'x+1/2,-y+1/2,z'
loop_
_atom_site_label
_atom_site_type_symbol
_atom_site_fract_x
_atom_site_fract_y
_atom_site_fract_z
_atom_site_occupancy
Tm1 Tm 0.2068 0.0000 0.3256 1
Ta1 Ta 0.1122 0.0000 0.7121 1
I1 I 0.0405 0.5000 0.2058 1
O1 O 0.0404 0.0000 0.3455 1
O2 O 0.1604 0.0000 0.9976 1
O3 O 0.1840 0.2302 0.6289 1
```

Properties
For the uncorrected formation energy, the calculation gives -2.63 eV per atom. The value obtained for the total energy is -8.014 eV per atom.